Material: Fe3Pd8
Method: DFT, PBE
State: optimized geometry

Unit cell a=5.671 b=5.671 c=5.671 alpha=90.16 beta=90.16 gamma=90.16
Element x y z (fractional)
Fe 0.000 0.500 0.500
Fe 0.500 0.500 0.000
Fe 0.500 0.000 0.500
Pd 0.633 0.633 0.633
Pd 0.682 0.877 0.105
Pd 0.123 0.895 0.318
Pd 0.895 0.318 0.123
Pd 0.318 0.123 0.895
Pd 0.877 0.105 0.682
Pd 0.367 0.367 0.367
Pd 0.105 0.682 0.877

Symmetry: R-3 (148)
Calculated volume, Å³ per atom: 16.6
Offset from the most stable computed form, kJ/mol of formula units: 472
Calculated density, g/cm3: 9.28
DFT formation energy, kJ/mol of formula units: 372



Material: MgTl2ClF3
Method: DFT, PBE
State: optimized geometry

Unit cell a=5.048 b=4.002 c=7.762 alpha=104.94 beta=108.98 gamma=90.00
Element x y z (fractional)
Mg 0.000 0.000 0.000
F 0.858 0.858 0.716
F 0.142 0.142 0.284
F 0.000 0.500 0.000
Cl 0.500 0.000 0.000
Tl 0.335 0.335 0.671
Tl 0.665 0.665 0.329

Symmetry: Immm (71)
Calculated volume, Å³ per atom: 20.4
Uncorrected formation energy, eV per atom: -2.1679
Calculated density, g/cm3: 6.12



Material: NaCd2S3
Method: DFT, PBE
State: optimized geometry

Unit cell a=4.018 b=5.486 c=11.981 alpha=90.00 beta=90.00 gamma=90.00
Element x y z (fractional)
S 0.803 0.000 0.815
S 0.803 0.000 0.185
S 0.367 0.500 0.000
S 0.633 0.000 0.500
S 0.197 0.500 0.315
S 0.197 0.500 0.685
Cd 0.266 0.000 0.330
Cd 0.266 0.000 0.670
Cd 0.734 0.500 0.830
Cd 0.734 0.500 0.170
Na 0.270 0.000 0.000
Na 0.730 0.500 0.500

Symmetry: Pmmn (59)
Calculated volume, Å³ per atom: 22.0
Uncorrected formation energy, eV per atom: -0.5316
Calculated density, g/cm3: 4.33



Material: Th3Be2Si3
Method: DFT, PBE
State: optimized geometry

Unit cell a=3.936 b=5.819 c=15.128 alpha=90.00 beta=90.00 gamma=109.77
Element x y z (fractional)
Si 0.572 0.145 0.442
Si 0.428 0.855 0.558
Si 0.572 0.145 0.058
Si 0.428 0.855 0.942
Si 0.256 0.512 0.250
Si 0.744 0.488 0.750
Be 0.133 0.265 0.119
Be 0.867 0.735 0.881
Be 0.867 0.735 0.619
Be 0.133 0.265 0.381
Th 0.540 0.081 0.250
Th 0.846 0.692 0.408
Th 0.154 0.308 0.592
Th 0.460 0.919 0.750
Th 0.846 0.692 0.092
Th 0.154 0.308 0.908

Symmetry: Cmcm (63)
Calculated volume, Å³ per atom: 20.4
Uncorrected formation energy, eV per atom: -0.5691
Calculated density, g/cm3: 8.13



Material: CoWCl
Method: DFT, PBE
State: optimized geometry

Unit cell a=6.710 b=6.401 c=2.921 alpha=83.12 beta=71.27 gamma=25.61
Element x y z (fractional)
Co 0.324 0.324 0.676
W 0.675 0.675 0.325
Cl 0.001 0.001 0.999

Symmetry: Fmm2 (42)
Calculated volume, Å³ per atom: 15.6
Offset from the most stable computed form, kJ/mol of formula units: 53
Uncorrected formation energy, eV per atom: 0.5531
Calculated density, g/cm3: 9.89



Material: ZrBeSiRh2
Method: DFT, PBE
State: optimized geometry

Unit cell a=4.794 b=4.591 c=4.794 alpha=90.00 beta=90.00 gamma=90.00
Element x y z (fractional)
Be 0.000 0.500 0.000
Rh 0.000 0.000 0.500
Rh 0.500 0.000 0.000
Si 0.500 0.500 0.500
Zr 0.000 0.000 0.000

Symmetry: P4/mmm (123)
Calculated volume, Å³ per atom: 21.1
Uncorrected formation energy, eV per atom: 1.3094
Calculated density, g/cm3: 5.26



Material: LiDy2Pb5
Method: DFT, PBE
State: optimized geometry

Unit cell a=4.822 b=6.806 c=13.260 alpha=90.00 beta=90.00 gamma=90.00
Element x y z (fractional)
Pb 0.000 0.959 0.740
Pb 0.000 0.000 0.000
Pb 0.500 0.202 0.608
Pb 0.500 0.798 0.392
Pb 0.000 0.041 0.260
Pb 0.500 0.702 0.892
Pb 0.000 0.500 0.500
Pb 0.000 0.541 0.240
Pb 0.500 0.298 0.108
Pb 0.000 0.459 0.760
Dy 0.500 0.201 0.862
Dy 0.500 0.799 0.138
Dy 0.500 0.701 0.638
Dy 0.500 0.299 0.362
Li 0.000 0.500 0.000
Li 0.000 0.000 0.500

Symmetry: Pbam (55)
Calculated volume, Å³ per atom: 27.2
Calculated density, g/cm3: 10.44
DFT formation energy, kJ/mol of formula units: -267



Material: LaTb5Dy
Method: DFT, PBE
State: optimized geometry

Unit cell a=5.797 b=7.900 c=7.900 alpha=66.53 beta=68.47 gamma=68.47
Element x y z (fractional)
La 0.000 0.000 0.000
Tb 0.252 0.748 0.748
Tb 0.500 0.180 0.820
Tb 0.000 0.500 0.500
Tb 0.500 0.820 0.180
Tb 0.748 0.252 0.252
Dy 0.500 0.500 0.500

Symmetry: Immm (71)
Calculated volume, Å³ per atom: 42.6
Offset from the most stable computed form, kJ/mol of formula units: 599
Calculated density, g/cm3: 6.10
DFT formation energy, kJ/mol of formula units: 728



Material: AcPm2Nd5Ho
Method: DFT, PBE
State: optimized geometry

Unit cell a=9.055 b=9.055 c=10.183 alpha=116.40 beta=116.40 gamma=90.00
Element x y z (fractional)
Nd 0.163 0.071 0.734
Nd 0.337 0.837 0.266
Nd 0.500 0.500 0.000
Nd 0.000 0.000 0.000
Nd 0.663 0.163 0.734
Nd 0.929 0.429 0.266
Nd 0.837 0.929 0.266
Nd 0.571 0.663 0.734
Nd 0.429 0.337 0.266
Nd 0.071 0.571 0.734
Ho 0.750 0.250 0.500
Ho 0.250 0.750 0.500
Ac 0.750 0.750 0.500
Ac 0.250 0.250 0.500
Pm 0.616 0.116 0.000
Pm 0.116 0.384 0.000
Pm 0.384 0.884 0.000
Pm 0.884 0.616 0.000

Symmetry: I4/mcm (140)
Calculated volume, Å³ per atom: 36.1
Calculated density, g/cm3: 7.18
DFT formation energy, kJ/mol of formula units: 225



Material: Ac2AlSiRh6
Method: DFT, PBE
State: optimized geometry

Unit cell a=6.515 b=6.510 c=6.517 alpha=59.98 beta=60.01 gamma=90.01
Element x y z (fractional)
Ac 0.750 0.250 0.500
Ac 0.250 0.750 0.500
Rh 0.746 0.746 0.000
Rh 0.254 0.254 0.491
Rh 0.254 0.254 0.000
Rh 0.255 0.746 0.000
Rh 0.746 0.746 0.509
Rh 0.745 0.254 0.000
Si 0.500 0.500 0.000
Al 0.000 0.000 0.000

Symmetry: R-3m (166)
Calculated volume, Å³ per atom: 19.5
Uncorrected formation energy, eV per atom: -0.5890
Calculated density, g/cm3: 9.57



Material: Li2CdHgF
Method: DFT, PBE
State: optimized geometry

Unit cell a=5.127 b=5.050 c=5.127 alpha=90.00 beta=90.00 gamma=90.00
Element x y z (fractional)
F 0.000 0.500 0.000
Hg 0.000 0.000 0.000
Li 0.000 0.000 0.500
Li 0.500 0.000 0.000
Cd 0.500 0.500 0.500

Symmetry: P4/mmm (123)
Calculated volume, Å³ per atom: 26.5
Uncorrected formation energy, eV per atom: -0.3713
Calculated density, g/cm3: 4.33



Material: Cs2KTe
Method: DFT, PBE
State: optimized geometry

Unit cell a=4.770 b=4.770 c=11.681 alpha=90.00 beta=90.00 gamma=90.00
Element x y z (fractional)
Cs 0.000 0.000 0.160
Cs 0.000 0.000 0.840
K 0.500 0.500 0.500
Te 0.500 0.500 0.000

Symmetry: P4/mmm (123)
Calculated volume, Å³ per atom: 66.4
Offset from the most stable computed form, kJ/mol of formula units: 25
Uncorrected formation energy, eV per atom: -0.5918
Calculated density, g/cm3: 2.70



Material: AsSe2Br
Method: DFT, PBE
State: optimized geometry

Unit cell a=3.853 b=3.855 c=7.268 alpha=90.00 beta=90.00 gamma=90.00
Element x y z (fractional)
Br 0.000 0.500 0.500
As 0.500 0.000 0.500
Se 0.500 0.500 0.000
Se 0.000 0.000 0.000

Symmetry: P4/mmm (123)
Calculated volume, Å³ per atom: 27.0
Offset from the most stable computed form, kJ/mol of formula units: 222
Uncorrected formation energy, eV per atom: 0.4234
Calculated density, g/cm3: 4.81



Material: CrSb2Pb
Method: DFT, PBE
State: optimized geometry

Unit cell a=4.266 b=4.266 c=7.340 alpha=73.11 beta=73.11 gamma=60.00
Element x y z (fractional)
Sb 0.059 0.059 0.824
Sb 0.272 0.272 0.184
Cr 0.666 0.666 0.002
Pb 0.503 0.503 0.490

Symmetry: R3m (160)
Calculated volume, Å³ per atom: 27.2
Uncorrected formation energy, eV per atom: 0.1509
Calculated density, g/cm3: 7.66



Material: NaBiSeN2
Method: DFT, PBE
State: optimized geometry

Unit cell a=4.187 b=5.737 c=4.187 alpha=90.00 beta=90.00 gamma=90.00
Element x y z (fractional)
Bi 0.000 0.500 0.000
N 0.000 0.000 0.500
N 0.500 0.000 0.000
Na 0.500 0.500 0.500
Se 0.000 0.000 0.000

Symmetry: P4/mmm (123)
Calculated volume, Å³ per atom: 20.1
Offset from the most stable computed form, kJ/mol of formula units: 207
Uncorrected formation energy, eV per atom: 1.4910
Calculated density, g/cm3: 5.60



Material: FeAsAu2
Method: DFT, PBE
State: optimized geometry

Unit cell a=4.851 b=4.851 c=4.851 alpha=128.53 beta=128.53 gamma=75.77
Element x y z (fractional)
Au 0.000 0.000 0.000
Au 0.250 0.750 0.500
Fe 0.500 0.500 0.000
As 0.750 0.250 0.500

Symmetry: I-4m2 (119)
Calculated volume, Å³ per atom: 17.0
Calculated density, g/cm3: 12.82
DFT formation energy, kJ/mol of formula units: 115



Material: ZnIrRu2
Method: DFT, PBE
State: optimized geometry

Unit cell a=8.956 b=8.956 c=8.956 alpha=17.49 beta=17.49 gamma=17.49
Element x y z (fractional)
Zn 0.250 0.250 0.250
Ir 0.750 0.750 0.750
Ru 0.500 0.500 0.500
Ru 0.000 0.000 0.000

Symmetry: R-3m (166)
Calculated volume, Å³ per atom: 14.2
Calculated density, g/cm3: 13.48
DFT formation energy, kJ/mol of formula units: 21



Material: Er3CdSb
Method: DFT, PBE
State: optimized geometry

Unit cell a=5.113 b=7.910 c=8.512 alpha=117.69 beta=90.00 gamma=90.00
Element x y z (fractional)
Er 0.500 0.317 0.000
Er 0.000 0.162 0.325
Er 0.500 0.000 0.500
Er 0.500 0.500 0.500
Er 0.000 0.838 0.675
Er 0.500 0.683 0.000
Cd 0.500 0.909 0.817
Cd 0.500 0.091 0.183
Sb 0.000 0.633 0.265
Sb 0.000 0.367 0.735

Symmetry: Cmmm (65)
Calculated volume, Å³ per atom: 30.5
Uncorrected formation energy, eV per atom: -0.0441
Calculated density, g/cm3: 8.02



Material: SrRhPb2
Method: DFT, PBE
State: optimized geometry

Unit cell a=4.603 b=4.603 c=4.906 alpha=90.00 beta=90.00 gamma=90.00
Element x y z (fractional)
Pb 0.500 0.500 0.000
Pb 0.000 0.000 0.000
Rh 0.500 0.000 0.500
Sr 0.000 0.500 0.500

Symmetry: P4/mmm (123)
Calculated volume, Å³ per atom: 26.0
Calculated density, g/cm3: 9.66
DFT formation energy, kJ/mol of formula units: -23



Material: Cu4Ni10Pt
Method: DFT, PBE
State: optimized geometry

Unit cell a=7.012 b=4.738 c=8.580 alpha=72.23 beta=65.88 gamma=42.27
Element x y z (fractional)
Cu 0.599 0.203 0.599
Cu 0.795 0.614 0.795
Cu 0.401 0.797 0.401
Cu 0.205 0.386 0.205
Ni 0.166 0.500 0.500
Ni 0.765 0.701 0.102
Ni 0.632 0.099 0.304
Ni 0.568 0.299 0.898
Ni 0.834 0.500 0.500
Ni 0.966 0.099 0.304
Ni 0.368 0.901 0.696
Ni 0.034 0.901 0.696
Ni 0.432 0.701 0.102
Ni 0.235 0.299 0.898
Pt 0.000 0.000 0.000

Symmetry: C2/m (12)
Calculated volume, Å³ per atom: 11.7
Calculated density, g/cm3: 9.83
DFT formation energy, kJ/mol of formula units: 135



Material: TmHf2N4
Method: DFT, PBE
State: optimized geometry

Unit cell a=3.199 b=5.559 c=10.326 alpha=90.00 beta=90.00 gamma=106.72
Element x y z (fractional)
N 0.766 0.531 0.383
N 0.500 0.000 0.500
N 0.234 0.469 0.617
N 0.234 0.469 0.883
N 0.500 0.000 0.000
N 0.041 0.083 0.250
N 0.766 0.531 0.117
N 0.959 0.917 0.750
Hf 0.868 0.737 0.930
Hf 0.132 0.263 0.430
Hf 0.132 0.263 0.070
Hf 0.868 0.737 0.570
Tm 0.610 0.219 0.750
Tm 0.390 0.781 0.250

Symmetry: Cmcm (63)
Calculated volume, Å³ per atom: 12.6
Uncorrected formation energy, eV per atom: -1.5001
Calculated density, g/cm3: 10.99



Material: AcTa3Ni4S12
Method: DFT, PBE
State: optimized geometry

Unit cell a=8.051 b=8.051 c=8.051 alpha=106.02 beta=106.02 gamma=106.02
Element x y z (fractional)
S 0.354 0.984 0.243
S 0.016 0.646 0.757
S 0.335 0.665 0.500
S 0.646 0.757 0.016
S 0.665 0.500 0.335
S 0.896 0.500 0.104
S 0.500 0.104 0.896
S 0.243 0.354 0.984
S 0.757 0.016 0.646
S 0.104 0.896 0.500
S 0.984 0.243 0.354
S 0.500 0.335 0.665
Ta 0.446 0.000 0.554
Ta 0.000 0.554 0.446
Ta 0.554 0.446 0.000
Ac 0.000 0.000 0.000
Ni 0.940 0.060 0.500
Ni 0.060 0.500 0.940
Ni 0.500 0.940 0.060
Ni 0.500 0.500 0.500

Symmetry: R32 (155)
Calculated volume, Å³ per atom: 22.3
Uncorrected formation energy, eV per atom: -0.6309
Calculated density, g/cm3: 5.18



Material: Sr2BiAs3Rh4
Method: DFT, PBE
State: optimized geometry

Unit cell a=4.373 b=4.373 c=10.669 alpha=90.00 beta=90.00 gamma=90.00
Element x y z (fractional)
Sr 0.000 0.500 0.758
Sr 0.500 0.000 0.242
As 0.000 0.000 0.500
As 0.000 0.500 0.124
As 0.500 0.000 0.876
Rh 0.000 0.000 0.000
Rh 0.500 0.500 0.000
Rh 0.000 0.500 0.353
Rh 0.500 0.000 0.647
Bi 0.500 0.500 0.500

Symmetry: P-4m2 (115)
Calculated volume, Å³ per atom: 20.4
Calculated density, g/cm3: 8.31
DFT formation energy, kJ/mol of formula units: -624